(1)
# Ce3PuBi12

Ce3PuBi12 after structural relaxation (PBE, Alexandria via LeMat-Bulk).

Cell lengths 4.980, 4.980, 19.609 Å; angles 90.00, 90.00, 90.00 degrees
Last column: magnetic moment on the atom in μB.
Fractional coordinates of all 16 atoms:
Bi (0.000, 0.500, 0.124)  -0.04
Bi (0.500, 0.500, 0.249)  -0.01
Bi (0.500, 0.500, 0.000)  -0.06
Bi (0.500, 0.000, 0.625)  0.00
Bi (0.500, 0.000, 0.375)  0.00
Bi (0.500, 0.000, 0.876)  -0.04
Bi (0.000, 0.500, 0.625)  0.00
Ce (0.000, 0.000, 0.500)  -0.75
Bi (0.000, 0.500, 0.876)  -0.04
Bi (0.500, 0.000, 0.124)  -0.04
Bi (0.500, 0.500, 0.751)  -0.01
Bi (0.500, 0.500, 0.500)  0.02
Bi (0.000, 0.500, 0.375)  0.00
Ce (0.000, 0.000, 0.750)  0.61
Ce (0.000, 0.000, 0.250)  0.61
Pu (0.000, 0.000, 0.000)  5.43

Formation enthalpy at 0 K, eV per atom: -0.4037

***

(2)
# TaBeVFe2

TaBeVFe2 after structural relaxation (PBE, Alexandria via LeMat-Bulk).

Cell lengths 4.170, 4.681, 4.170 Å; angles 90.00, 90.00, 90.00 degrees
Last column: magnetic moment on the atom in μB.
Fractional coordinates of all 5 atoms:
Fe (0.500, 0.000, 0.000)  1.55
Fe (0.000, 0.000, 0.500)  1.90
Be (0.500, 0.500, 0.500)  0.00
V (0.000, 0.000, 0.000)  -0.61
Ta (0.000, 0.500, 0.000)  0.06

Formation enthalpy at 0 K, eV per atom: 1.3528

***

(3)
# ZrSiAs2

ZrSiAs2 after structural relaxation (PBE, Alexandria via LeMat-Bulk).

Cell lengths 3.788, 3.788, 5.612 Å; angles 90.00, 90.00, 90.00 degrees
Fractional coordinates of all 4 atoms:
Zr (0.500, 0.500, 0.824)
As (0.000, 0.000, 0.889)
Si (0.000, 0.000, 0.446)
As (0.500, 0.500, 0.341)

Energy relative to the elements, uncorrected, eV/f.u.: -1.54
Energy above the most stable polymorph in this dataset, meV per atom: 248

***

(4)
# AcGaPd2Au4

AcGaPd2Au4 after structural relaxation (PBE, Alexandria via LeMat-Bulk).

Cell lengths 4.615, 4.615, 9.276 Å; angles 75.60, 75.60, 60.00 degrees
Fractional coordinates of all 8 atoms:
Pd (0.758, 0.758, 0.726)
Pd (0.242, 0.242, 0.274)
Ga (0.500, 0.500, 0.500)
Au (0.598, 0.598, 0.205)
Au (0.131, 0.131, 0.606)
Ac (0.000, 0.000, 0.000)
Au (0.402, 0.402, 0.795)
Au (0.869, 0.869, 0.394)

Formation enthalpy at 0 K, eV per atom: -0.3881

***

Results for N(E_F): 1.645; 0.802; 0.357; 0.596 (in states/eV/atom, following the order of the records).
Results for calculated volume: 30.4; 16.3; 20.1; 20.5 (in Å³ per atom, following the order of the records).
Results for total magnetic moment: 0.36; 0.59; 0.00; 0.00 (in μB/atom, following the order of the records).